Material: Sr8PdN4
Method: DFT, PBE
State: relaxed

Cell and atoms, written as CIF:
```
data_Sr8PdN4
_chemical_formula_sum 'Sr8 Pd1 N4'
_cell_length_a 7.723
_cell_length_b 7.723
_cell_length_c 8.454
_cell_angle_alpha 62.82
_cell_angle_beta 62.82
_cell_angle_gamma 60.00
_space_group_name_H-M_alt 'P 1'
_space_group_IT_number 1
_space_group_name_Hall 'P 1'
loop_
_atom_site_label
_atom_site_type_symbol
_atom_site_fract_x
_atom_site_fract_y
_atom_site_fract_z
_atom_site_occupancy
Sr1 Sr 0.727 0.233 0.808 1
Sr2 Sr 0.767 0.273 0.192 1
Sr3 Sr 0.273 0.767 0.192 1
Sr4 Sr 0.767 0.767 0.192 1
Sr5 Sr 0.729 0.729 0.813 1
Sr6 Sr 0.271 0.271 0.187 1
Sr7 Sr 0.233 0.233 0.808 1
Sr8 Sr 0.233 0.727 0.808 1
Pd1 Pd 0.500 0.500 0.500 1
N1 N 0.000 0.500 0.000 1
N2 N 0.500 0.500 0.000 1
N3 N 0.500 0.000 0.000 1
N4 N 0.000 0.000 0.000 1
```

Results
The density of states at the Fermi level is 5.00 states/eV/cell. Its uncorrected formation energy is -0.545 eV/atom.